Compound: Li3MnV4O8
Source: the Alexandria database
Functional: PBE+U
Structure: optimized geometry

size of the total moment = 14.000 μB/f.u.
VASP energy = -7.115 eV/atom
symmetry = C2/m (12)

Cell: 6.0764 6.0764 6.0572 Å, 119.17 119.17 59.62°
Last column: nearest neighbours and their distance in Å.
Positions (direct):
Li 0.0000 0.0000 0.0000  6 O 2.12-2.20
Li 0.0000 0.5000 0.5000  6 O 2.17-2.30
Li 0.5000 0.0000 0.5000  6 O 2.17-2.30
Mn 0.5000 0.5000 0.5000  6 O 2.17-2.18
V 0.0000 0.0000 0.5000  6 O 2.21-2.22
V 0.0000 0.5000 0.0000  6 O 2.04-2.11
V 0.5000 0.0000 0.0000  6 O 2.04-2.11
V 0.5000 0.5000 0.0000  6 O 2.07-2.15
O 0.2423 0.7316 0.2255  3 V 2.07-2.22, 2 Li 2.12-2.30, 1 Mn 2.17
O 0.2514 0.2514 0.2277  2 V 2.04, 1 Mn 2.18, 3 Li 2.20-2.24
O 0.2535 0.2535 0.7600  4 V 2.11-2.21, 2 Li 2.17
O 0.2684 0.7577 0.7745  3 V 2.07-2.22, 2 Li 2.12-2.30, 1 Mn 2.17
O 0.7316 0.2423 0.2255  3 V 2.07-2.22, 2 Li 2.12-2.30, 1 Mn 2.17
O 0.7465 0.7465 0.2400  4 V 2.11-2.21, 2 Li 2.17
O 0.7486 0.7486 0.7723  2 V 2.04, 1 Mn 2.18, 3 Li 2.20-2.24
O 0.7577 0.2684 0.7745  3 V 2.07-2.22, 2 Li 2.12-2.30, 1 Mn 2.17